(1)
Ba2YTl: optimized geometry, GGA-PBE.

Values from the calculation:
Relative energy among the computed polymorphs ... 60 meV per atom
Energy relative to the elements ... -0.06 eV/atom
SG ... No. 6
Calculated volume ... 42.9 Å³ per atom
Size of the total moment ... 0.0 μB/f.u.
E_tot ... -12.90 eV per cell

a = 4.1862 Å, b = 5.4865 Å, c = 7.7559 Å
α = 90.00°, β = 105.64°, γ = 90.00°
Fractional coordinates of all 4 atoms:
Ba: 0.0000 0.0000 0.0000
Ba: 0.3176 0.5000 0.6392
Y: 0.7082 0.0000 0.4206
Tl: 0.6065 0.5000 0.2094

=====

(2)
CaLaRh4: optimized geometry, GGA-PBE.

Values from the calculation:
Energy relative to the elements ... -0.57 eV/atom
SG ... No. 216
Calculated volume ... 18.7 Å³ per atom
Size of the total moment ... 0.0 μB/f.u.
E_tot ... -39.75 eV per cell

a = 5.4104 Å, b = 5.4104 Å, c = 5.4104 Å
α = 60.00°, β = 60.00°, γ = 60.00°
Fractional coordinates of all 6 atoms:
Ca: 0.0000 0.0000 0.0000
La: 0.7500 0.7500 0.7500
Rh: 0.3748 0.3748 0.3748
Rh: 0.3748 0.3748 0.8757
Rh: 0.3748 0.8757 0.3748
Rh: 0.8757 0.3748 0.3748